## Li2Co3O6 (GGA+U)

Data for a geometry-optimized Li2Co3O6 structure.

The structure in extended XYZ format:
```
22
Lattice="-3.875 1.213 2.896 1.896 -4.612 0.023 6.292 2.623 7.320" Properties=species:S:1:pos:R:3 pbc="T T T"
Co 0.231 1.555 6.078
Co 2.156 -0.388 5.119
Co 0.000 0.000 0.000
Co -1.949 -0.731 1.937
Co -0.029 -2.669 0.981
Co 4.082 -2.332 4.161
O 2.851 -1.128 3.366
O 3.504 -1.709 5.856
O 3.387 0.953 4.872
O 4.355 0.069 8.609
O 0.809 0.933 4.383
O -0.042 -0.845 1.630
O 6.185 -1.795 7.573
O 0.926 -1.729 5.366
O 2.456 1.969 9.430
O -1.872 1.019 2.665
O 1.857 -2.746 0.809
O 1.462 0.352 6.873
Li -1.031 0.117 4.261
Li 2.459 2.019 7.414
Li 1.854 -2.796 2.825
Li 5.344 -0.894 5.978
```

Its space group is Cmce, No. 64. The total moment comes out at 5.93 Bohr magnetons per cell. Its energy relative to the lowest polymorph listed for this composition is 73 meV/atom.